Crystalline CdSn2Hg at its relaxed geometry, computed with PBE-GGA.

Output
crystal system	trigonal
distance to the lowest polymorph of the same formula	59.1	meV per atom
DOS at the Fermi energy	0.489	states/eV/atom
M_tot	0.00	Bohr magnetons per cell

POSCAR file:
```
CdSn2Hg
1.0
4.512 0.000 0.000
-2.256 3.908 0.000
0.000 0.000 19.361
Cd Sn Hg
3 6 3
Direct
0.000 0.000 0.000
0.333 0.667 0.667
0.667 0.333 0.333
0.000 0.000 0.585
0.000 0.000 0.747
0.333 0.667 0.251
0.333 0.667 0.414
0.667 0.333 0.081
0.667 0.333 0.918
0.000 0.000 0.168
0.333 0.667 0.835
0.667 0.333 0.502
```